1.
A relaxed structure of ZnCoNiMo, computed with GGA-PBE.

Cell: 5.868 5.868 5.868 Å, 90.00 90.00 90.00°
Space group F-43m (No. 216)
Asymmetric unit:
Zn (0.000, 0.000, 0.000) [4 per cell]
Co (0.250, 0.250, 0.250) [4 per cell]
Ni (0.250, 0.250, 0.750) [4 per cell]
Mo (0.000, 0.000, 0.500) [4 per cell]

Energy of formation from the pure elements = 45 meV per atom
Total magnetic moment = 4.40 μB per cell


2.
A relaxed structure of NpCoMo, computed with GGA-PBE.

Cell: 5.987 5.987 5.987 Å, 90.00 90.00 90.00°
Space group F-43m (No. 216)
Asymmetric unit:
Np (0.000, 0.000, 0.000) [4 per cell]
Co (0.250, 0.250, 0.250) [4 per cell]
Mo (0.250, 0.250, 0.750) [4 per cell]

Energy of formation from the pure elements = 875 meV per atom
Total magnetic moment = 4.54 μB per cell


3.
A relaxed structure of NpCoMo, computed with GGA-PBE.

Cell: 5.942 5.942 5.942 Å, 90.00 90.00 90.00°
Space group F-43m (No. 216)
Asymmetric unit:
Np (0.000, 0.000, 0.000) [4 per cell]
Co (0.250, 0.250, 0.750) [4 per cell]
Mo (0.000, 0.000, 0.500) [4 per cell]

Energy of formation from the pure elements = 638 meV per atom
Total magnetic moment = 4.12 μB per cell


4.
A relaxed structure of Co3Mo2Os3, computed with GGA-PBE.

Cell: 4.246 5.395 9.292 Å, 90.00 90.00 90.00°
Space group Amm2 (No. 38)
Asymmetric unit:
Co (0.000, 0.000, 0.000) [2 per cell]
Co (0.500, 0.239, 0.072) [4 per cell]
Mo (0.000, 0.000, 0.496) [2 per cell]
Mo (0.500, 0.000, 0.835) [2 per cell]
Os (0.000, 0.249, 0.736) [4 per cell]
Os (0.500, 0.000, 0.325) [2 per cell]

Energy of formation from the pure elements = -15 meV per atom
Total magnetic moment = 0.01 μB per cell


5.
A relaxed structure of Co3Mo2Os3, computed with GGA-PBE.

Cell: 5.336 4.259 5.339 Å, 90.00 119.83 90.00°
Space group Pm (No. 6)
Asymmetric unit:
Co (0.000, 0.000, 0.000) [1 per cell]
Co (0.009, 0.000, 0.512) [1 per cell]
Co (0.681, 0.500, 0.843) [1 per cell]
Mo (0.165, 0.500, 0.335) [1 per cell]
Mo (0.506, 0.000, 0.002) [1 per cell]
Os (0.161, 0.500, 0.838) [1 per cell]
Os (0.511, 0.000, 0.516) [1 per cell]
Os (0.678, 0.500, 0.348) [1 per cell]

Energy of formation from the pure elements = -41 meV per atom
Total magnetic moment = 0.02 μB per cell


6.
A relaxed structure of Co3Mo2Os3, computed with GGA-PBE.

Cell: 5.3928 5.3928 4.2313 Å, 90.00 90.00 120.00°
Space group P-6m2 (No. 187)
Asymmetric unit:
Co (0.0011, 0.5006, 0.0000) [3 per cell]
Mo (0.0000, 0.0000, 0.0000) [1 per cell]
Mo (0.3333, 0.6667, 0.5000) [1 per cell]
Os (0.3437, 0.1719, 0.5000) [3 per cell]

Energy of formation from the pure elements = 4 meV per atom
Total magnetic moment = 0.33 μB per cell


7.
A relaxed structure of CoMo2Os5, computed with GGA-PBE.

Cell: 4.343 5.493 9.521 Å, 90.00 90.00 90.00°
Space group Amm2 (No. 38)
Asymmetric unit:
Co (0.000, 0.000, 0.000) [2 per cell]
Mo (0.000, 0.000, 0.501) [2 per cell]
Mo (0.500, 0.000, 0.836) [2 per cell]
Os (0.000, 0.247, 0.745) [4 per cell]
Os (0.500, 0.000, 0.332) [2 per cell]
Os (0.500, 0.243, 0.080) [4 per cell]

Energy of formation from the pure elements = -44 meV per atom
Total magnetic moment = 0.02 μB per cell


8.
A relaxed structure of CoMo2Os, computed with GGA-PBE.

Cell: 6.111 6.111 6.111 Å, 90.00 90.00 90.00°
Space group F-43m (No. 216)
Asymmetric unit:
Co (0.000, 0.000, 0.000) [4 per cell]
Mo (0.000, 0.000, 0.500) [4 per cell]
Mo (0.250, 0.250, 0.250) [4 per cell]
Os (0.250, 0.250, 0.750) [4 per cell]

Energy of formation from the pure elements = 247 meV per atom
Total magnetic moment = 8.19 μB per cell


9.
A relaxed structure of CoMoOsPb, computed with GGA-PBE.

Cell: 6.365 6.365 6.365 Å, 90.00 90.00 90.00°
Space group F-43m (No. 216)
Asymmetric unit:
Co (0.000, 0.000, 0.000) [4 per cell]
Mo (0.250, 0.250, 0.250) [4 per cell]
Os (0.000, 0.000, 0.500) [4 per cell]
Pb (0.250, 0.250, 0.750) [4 per cell]

Total magnetic moment = 11.58 μB per cell


10.
A relaxed structure of TlCoMoOs, computed with GGA-PBE.

Cell: 6.318 6.318 6.318 Å, 90.00 90.00 90.00°
Space group F-43m (No. 216)
Asymmetric unit:
Tl (0.000, 0.000, 0.000) [4 per cell]
Co (0.250, 0.250, 0.250) [4 per cell]
Mo (0.000, 0.000, 0.500) [4 per cell]
Os (0.250, 0.250, 0.750) [4 per cell]

Total magnetic moment = 8.42 μB per cell


11.
A relaxed structure of CoMoP, computed with GGA-PBE.

Cell: 5.810 3.726 6.726 Å, 90.00 90.00 90.00°
Space group Pnma (No. 62)
Asymmetric unit:
Co (0.141, 0.250, 0.067) [4 per cell]
Mo (0.032, 0.250, 0.670) [4 per cell]
P (0.232, 0.750, 0.881) [4 per cell]

Total magnetic moment = 0.00 μB per cell


12.
A relaxed structure of CoMo2P, computed with GGA-PBE.

Cell: 3.8496 3.8496 5.1283 Å, 90.00 90.00 120.00°
Space group P3m1 (No. 156)
Asymmetric unit:
Co (0.0000, 0.0000, 0.0000) [1 per cell]
Mo (0.0000, 0.0000, 0.4530) [1 per cell]
Mo (0.3333, 0.6667, 0.8494) [1 per cell]
P (0.6667, 0.3333, 0.6108) [1 per cell]

Total magnetic moment = 0.21 μB per cell


no.,E_tot (eV/cell)
1,-98.44
2,-112.39
3,-115.25
4,-153.63
5,-77.02
6,-76.66
7,-170.57
8,-156.16
9,-121.06
10,-116.11
11,-100.84
12,-32.57